1.
{"formula": "Na2CaPb2", "functional": "PBE", "state": "relaxed", "space_group": "P4/mbm", "ef_ev_per_atom": -0.182, "polymorph_energy_mev_per_atom": 99, "magmom_total_mub_per_fu": 0.0, "cell": [[8.7542, 0.0000, 0.0000], [0.0000, 8.7542, 0.0000], [0.0000, 0.0000, 4.0766]], "species": ["Pb", "Pb", "Pb", "Pb", "Na", "Na", "Na", "Na", "Ca", "Ca"], "frac_coords": [[0.3691, 0.8691, 0.0000], [0.8691, 0.6309, 0.0000], [0.6309, 0.1309, 0.0000], [0.1309, 0.3691, 0.0000], [0.1648, 0.6648, 0.5000], [0.6648, 0.8352, 0.5000], [0.8352, 0.3352, 0.5000], [0.3352, 0.1648, 0.5000], [0.0000, 0.0000, 0.0000], [0.5000, 0.5000, 0.0000]]}


2.
{"formula": "LaTa2NiBi", "functional": "PBE", "state": "relaxed", "space_group": "P4/mmm", "ef_ev_per_atom": 1.991, "magmom_total_mub_per_fu": 2.1, "cell": [[-2.7461, -1.0106, -4.2858], [-4.5587, -1.8737, 3.3629], [-1.9155, 4.8222, 0.0902]], "species": ["Ni", "La", "Bi", "Ta", "Ta"], "frac_coords": [[0.5000, 0.5000, 0.5000], [0.0000, 0.5000, 0.0000], [0.0000, 0.0000, 0.0000], [0.0000, 0.0000, 0.5000], [0.5000, 0.0000, 0.0000]]}